Here is a relaxed structure of Tm2ThPd7 from Alexandria via LeMat-Bulk. Energies are from PBE.

Results
The size of the total moment is 0.00 μB/cell. As for the uncorrected energy: -6.008 eV/atom.

The structure in CIF format:
```
data_Tm2ThPd7
_chemical_formula_sum 'Tm2 Th1 Pd7'
_space_group_name_H-M_alt 'P 1'
_space_group_IT_number 1
_cell_length_a 5.078
_cell_length_b 5.078
_cell_length_c 9.453
_cell_angle_alpha 111.27
_cell_angle_beta 111.27
_cell_angle_gamma 69.46
loop_
_space_group_symop_operation_xyz
'x,y,z'
loop_
_atom_site_label
_atom_site_fract_x
_atom_site_fract_y
_atom_site_fract_z
Pd1 0.914 0.414 0.828
Pd2 0.750 0.250 0.500
Pd3 0.086 0.586 0.172
Pd4 0.586 0.086 0.172
Pd5 0.250 0.750 0.500
Pd6 0.500 0.500 0.000
Pd7 0.414 0.914 0.828
Tm1 0.673 0.673 0.347
Tm2 0.327 0.327 0.653
Th1 0.000 0.000 0.000
```

=====

Here is a relaxed structure of Rb2VW from Alexandria via LeMat-Bulk. Energies are from PBE.

Results
The size of the total moment is 9.29 μB/cell. As for the uncorrected energy: -3.589 eV/atom.

The structure in CIF format:
```
data_Rb2VW
_chemical_formula_sum 'Rb2 V1 W1'
_space_group_name_H-M_alt 'P 1'
_space_group_IT_number 1
_cell_length_a 6.123
_cell_length_b 6.123
_cell_length_c 6.123
_cell_angle_alpha 60.00
_cell_angle_beta 60.00
_cell_angle_gamma 60.00
loop_
_space_group_symop_operation_xyz
'x,y,z'
loop_
_atom_site_label
_atom_site_fract_x
_atom_site_fract_y
_atom_site_fract_z
Rb1 0.750 0.750 0.750
Rb2 0.250 0.250 0.250
W1 0.500 0.500 0.500
V1 0.000 0.000 0.000
```

=====

Here is a relaxed structure of InNi2Rh from Alexandria via LeMat-Bulk. Energies are from PBE.

Results
The size of the total moment is 1.56 μB/cell. As for the uncorrected energy: -5.203 eV/atom.

The structure in CIF format:
```
data_InNi2Rh
_chemical_formula_sum 'In1 Ni2 Rh1'
_space_group_name_H-M_alt 'P 1'
_space_group_IT_number 1
_cell_length_a 8.364
_cell_length_b 8.364
_cell_length_c 8.364
_cell_angle_alpha 19.76
_cell_angle_beta 19.76
_cell_angle_gamma 19.76
loop_
_space_group_symop_operation_xyz
'x,y,z'
loop_
_atom_site_label
_atom_site_fract_x
_atom_site_fract_y
_atom_site_fract_z
Rh1 0.506 0.506 0.506
Ni1 0.253 0.253 0.253
Ni2 0.994 0.994 0.994
In1 0.747 0.747 0.747
```

=====

Here is a relaxed structure of SrSc2Cl from Alexandria via LeMat-Bulk. Energies are from PBE.

Results
The calculation puts the raw formation energy at 0.18 eV per atom. The size of the total moment is 0.01 μB/cell. As for the uncorrected energy: -3.865 eV/atom.

The structure in CIF format:
```
data_SrSc2Cl
_chemical_formula_sum 'Sr1 Sc2 Cl1'
_space_group_name_H-M_alt 'P 1'
_space_group_IT_number 1
_cell_length_a 5.633
_cell_length_b 5.633
_cell_length_c 3.660
_cell_angle_alpha 90.00
_cell_angle_beta 90.00
_cell_angle_gamma 90.00
loop_
_space_group_symop_operation_xyz
'x,y,z'
loop_
_atom_site_label
_atom_site_fract_x
_atom_site_fract_y
_atom_site_fract_z
Sc1 0.500 0.500 0.000
Sc2 0.000 0.000 0.000
Cl1 0.000 0.500 0.500
Sr1 0.500 0.000 0.500
```

=====

Here is a relaxed structure of Be2Cu2Hg from Alexandria via LeMat-Bulk. Energies are from PBE.

Results
The size of the total moment is 0.00 μB/cell. As for the uncorrected energy: -3.078 eV/atom.

The structure in CIF format:
```
data_Be2Cu2Hg
_chemical_formula_sum 'Be4 Cu4 Hg2'
_space_group_name_H-M_alt 'P 1'
_space_group_IT_number 1
_cell_length_a 6.506
_cell_length_b 6.506
_cell_length_c 2.887
_cell_angle_alpha 90.00
_cell_angle_beta 90.00
_cell_angle_gamma 90.00
loop_
_space_group_symop_operation_xyz
'x,y,z'
loop_
_atom_site_label
_atom_site_fract_x
_atom_site_fract_y
_atom_site_fract_z
Cu1 0.150 0.650 0.500
Cu2 0.650 0.850 0.500
Cu3 0.850 0.350 0.500
Cu4 0.350 0.150 0.500
Hg1 0.000 0.000 0.000
Hg2 0.500 0.500 0.000
Be1 0.629 0.129 0.000
Be2 0.871 0.629 0.000
Be3 0.129 0.371 0.000
Be4 0.371 0.871 0.000
```

=====

Here is a relaxed structure of DyHoGaSe from Alexandria via LeMat-Bulk. Energies are from PBE.

Results
The calculation puts the raw formation energy at -1.17 eV per atom. The size of the total moment is 0.00 μB/cell. As for the uncorrected energy: -5.089 eV/atom.

The structure in CIF format:
```
data_DyHoGaSe
_chemical_formula_sum 'Dy1 Ho1 Ga1 Se1'
_space_group_name_H-M_alt 'P 1'
_space_group_IT_number 1
_cell_length_a 3.949
_cell_length_b 3.949
_cell_length_c 7.644
_cell_angle_alpha 75.03
_cell_angle_beta 75.03
_cell_angle_gamma 60.00
loop_
_space_group_symop_operation_xyz
'x,y,z'
loop_
_atom_site_label
_atom_site_fract_x
_atom_site_fract_y
_atom_site_fract_z
Ho1 0.499 0.499 0.504
Se1 0.750 0.750 0.749
Ga1 0.250 0.250 0.251
Dy1 0.001 0.001 0.996
```